Here is an optimized crystal structure of Rb3LiU2Te6 from Alexandria via LeMat-Bulk. Energies are from PBE.

abc: 7.8950 13.6783 8.8637
angles: 90.00 107.21 90.00
Space group C2/m (No. 12)
Asymmetric unit:
Rb  0.0000  0.0000  0.0000 x2
Rb  0.0000  0.3376  0.0000 x4
Li  0.0000  0.5000  0.5000 x2
U  0.0000  0.1670  0.5000 x4
Te  0.2224  0.0000  0.6943 x4
Te  0.2371  0.3283  0.6963 x8

Results
Crystal system = monoclinic

Here is an optimized crystal structure of Rb3LiU3Te8 from Alexandria via LeMat-Bulk. Energies are from PBE.

abc: 15.5877 8.9402 10.0668
angles: 90.00 121.06 90.00
Space group C2/m (No. 12)
Asymmetric unit:
Rb  0.0000  0.0000  0.0000 x2
Rb  0.2500  0.2500  0.0000 x4
Li  0.0000  0.0000  0.5000 x2
U  0.0000  0.5000  0.5000 x2
U  0.2500  0.2500  0.5000 x4
Te  0.0212  0.2584  0.3070 x8
Te  0.2345  0.5000  0.7025 x4
Te  0.2362  0.0000  0.6934 x4

Results
Crystal system = monoclinic

Here is an optimized crystal structure of Rb2Li2UTe4 from Alexandria via LeMat-Bulk. Energies are from PBE.

abc: 16.7018 4.6019 8.5568
angles: 90.00 109.47 90.00
Space group C2/m (No. 12)
Asymmetric unit:
Rb  0.1373  0.0000  0.0662 x4
Li  0.1804  0.5000  0.4868 x4
U  0.0000  0.0000  0.5000 x2
Te  0.0146  0.5000  0.2678 x4
Te  0.1938  0.0000  0.6724 x4

Results
Crystal system = monoclinic

Here is an optimized crystal structure of RbLi2U2Te6 from Alexandria via LeMat-Bulk. Energies are from PBE.

abc: 7.8795 7.8795 7.3196
angles: 90.00 90.00 120.00
Space group P-31m (No. 162)
Asymmetric unit:
Rb  0.0000  0.0000  0.0000 x1
Li  0.3333  0.6667  0.5000 x2
U  0.3333  0.6667  0.0000 x2
Te  0.0000  0.3948  0.7498 x6

Results
Crystal system = trigonal

Here is an optimized crystal structure of RbLiUTe3 from Alexandria via LeMat-Bulk. Energies are from PBE.

abc: 9.9081 4.5407 10.4844
angles: 90.00 108.63 90.00
Space group P2_1/m (No. 11)
Asymmetric unit:
Rb  0.2096  0.2500  0.2568 x2
Li  0.0803  0.2500  0.5969 x2
U  0.3201  0.7500  0.8466 x2
Te  0.1221  0.2500  0.8724 x2
Te  0.2144  0.7500  0.5457 x2
Te  0.4671  0.7500  0.1568 x2

Results
Crystal system = monoclinic

Here is an optimized crystal structure of RbLiYTe2 from Alexandria via LeMat-Bulk. Energies are from PBE.

abc: 8.4652 4.6272 9.0471
angles: 90.00 90.70 90.00
Space group P2/c (No. 13)
Asymmetric unit:
Rb  0.0000  0.0021  0.2500 x2
Li  0.5000  0.0000  0.0000 x2
Y  0.5000  0.5002  0.2500 x2
Te  0.2609  0.4946  0.9975 x4

Results
Crystal system = monoclinic

What ΔE_f (raw) values result from the calculations? In sequence: -899; -815; -980; -756; -900; -981 meV/atom.
What magnetic moment values result from the calculations? In sequence: 8.00; 4.41; 4.00; 3.00; 4.00; 0.00 μB/cell.